Entry w
SiNiRu3: optimized geometry, GGA-PBE.

Cell and atoms, written as POSCAR:
```
SiNiRu3
1.0
4.3420 0.0000 0.0000
0.0000 4.3420 0.0000
0.0000 0.0000 4.3420
Si Ni Ru
1 1 3
direct
0.0000 0.0000 0.0000
0.5000 0.5000 0.5000
0.0000 0.0000 0.5000
0.0000 0.5000 0.0000
0.5000 0.0000 0.0000
```

Summary:
**Magnetization**: 2.69 μB/f.u.

=====

Entry x
SiNiRu3: optimized geometry, GGA-PBE.

Cell and atoms, written as POSCAR:
```
SiNiRu3
1.0
4.4129 0.0000 0.0000
0.0000 4.4129 0.0000
0.0000 0.0000 4.4129
Si Ni Ru
1 1 3
direct
0.0000 0.0000 0.0000
0.5000 0.5000 0.5000
0.0000 0.5000 0.5000
0.5000 0.0000 0.5000
0.5000 0.5000 0.0000
```

Summary:
**Magnetization**: 4.43 μB/f.u.

=====

Relative energies, in kJ/mol of atoms, with the most stable structure set to zero: entry w 0.0; entry x 50.2.

=====

Entry w
NiSn3Ru: optimized geometry, GGA-PBE.

Cell and atoms, written as POSCAR:
```
NiSn3Ru
1.0
5.0253 0.0000 0.0000
0.0000 5.0253 0.0000
0.0000 0.0000 5.0253
Ni Sn Ru
1 3 1
direct
0.0000 0.0000 0.0000
0.0000 0.5000 0.5000
0.5000 0.0000 0.5000
0.5000 0.5000 0.0000
0.5000 0.5000 0.5000
```

Summary:
**Magnetization**: 0.00 μB/f.u.

=====

Entry x
NiSn3Ru: optimized geometry, GGA-PBE.

Cell and atoms, written as POSCAR:
```
NiSn3Ru
1.0
4.8390 0.0000 0.0000
0.0000 4.8390 0.0000
0.0000 0.0000 4.8390
Ni Sn Ru
1 3 1
direct
0.0000 0.0000 0.0000
0.0000 0.0000 0.5000
0.0000 0.5000 0.0000
0.5000 0.0000 0.0000
0.5000 0.5000 0.5000
```

Summary:
**Magnetization**: 0.09 μB/f.u.

=====

Relative energies, in kJ/mol of atoms, with the most stable structure set to zero: entry w 0.0; entry x 13.0.

=====

Entry w
SrNi2Ru: optimized geometry, GGA-PBE.

Cell and atoms, written as POSCAR:
```
SrNi2Ru
1.0
-2.4063 2.4063 7.8214
2.4063 -2.4063 7.8214
2.4063 2.4063 -7.8214
Sr Ni Ru
2 4 2
direct
0.3750 0.6250 0.7500
0.6250 0.3750 0.2500
0.0000 0.0000 0.0000
0.0000 0.0000 0.5000
0.0000 0.5000 0.0000
0.5000 0.0000 0.5000
0.1250 0.8750 0.2500
0.8750 0.1250 0.7500
```

Summary:
**Magnetization**: 0.00 μB/f.u.

=====

Entry x
SrNi2Ru: optimized geometry, GGA-PBE.

Cell and atoms, written as POSCAR:
```
SrNi2Ru
1.0
3.1179 -3.6061 0.0000
3.1179 3.6061 0.0000
0.0000 0.0000 2.8200
Sr Ni Ru
1 2 1
direct
0.0000 0.0000 0.0000
0.0000 0.5000 0.5000
0.5000 0.0000 0.5000
0.5000 0.5000 0.0000
```

Summary:
**Magnetization**: 0.28 μB/f.u.

=====

Relative energies, in kJ/mol of atoms, with the most stable structure set to zero: entry w 0.0; entry x 6.5.

=====

Entry w
SrNi2Ru: optimized geometry, GGA-PBE.

Cell and atoms, written as POSCAR:
```
SrNi2Ru
1.0
2.0835 1.2029 5.3339
-2.0835 1.2029 5.3339
0.0000 -2.4058 5.3339
Sr Ni Ru
1 2 1
direct
0.0000 0.0000 0.0000
0.4985 0.4985 0.4985
0.8156 0.8156 0.8156
0.1848 0.1848 0.1848
```

Summary:
**Magnetization**: 0.14 μB/f.u.

=====

Entry x
SrNi2Ru: optimized geometry, GGA-PBE.

Cell and atoms, written as POSCAR:
```
SrNi2Ru
1.0
-1.4005 2.3774 4.8868
1.4005 -2.3774 4.8868
1.4005 2.3774 -4.8868
Sr Ni Ru
1 2 1
direct
0.0000 0.0000 0.0000
0.2780 0.7780 0.5000
0.4925 0.4925 0.0000
0.7128 0.2128 0.5000
```

Summary:
**Magnetization**: 0.42 μB/f.u.

=====

Entry y
SrNi2Ru: optimized geometry, GGA-PBE.

Cell and atoms, written as POSCAR:
```
SrNi2Ru
1.0
3.0429 0.0000 0.0000
0.0000 3.0429 0.0000
0.0000 0.0000 7.2158
Sr Ni Ru
1 2 1
direct
0.0000 0.0000 0.0000
0.0000 0.0000 0.4827
0.5000 0.5000 0.3117
0.5000 0.5000 0.6653
```

Summary:
**Magnetization**: 0.00 μB/f.u.

=====

Relative energies, in kJ/mol of atoms, with the most stable structure set to zero: entry w 0.0; entry x 42.3; entry y 34.4.

=====

Entry w
SrNi2Ru: optimized geometry, GGA-PBE.

Cell and atoms, written as POSCAR:
```
SrNi2Ru
1.0
-2.0000 2.0000 4.1788
2.0000 -2.0000 4.1788
2.0000 2.0000 -4.1788
Sr Ni Ru
1 2 1
direct
0.0000 0.0000 0.0000
0.2500 0.7500 0.5000
0.5000 0.5000 0.0000
0.7500 0.2500 0.5000
```

Summary:
**Magnetization**: 2.12 μB/f.u.

=====

Entry x
SrNi2Ru: optimized geometry, GGA-PBE.

Cell and atoms, written as POSCAR:
```
SrNi2Ru
1.0
2.8534 0.0000 0.0000
0.0000 4.1670 0.0000
-1.4092 0.0000 5.7431
Sr Ni Ru
1 2 1
direct
0.0000 0.0000 0.0000
0.6349 0.5000 0.2699
0.7496 0.0000 0.5022
0.3057 0.5000 0.6158
```

Summary:
**Magnetization**: 0.00 μB/f.u.

=====

Relative energies, in kJ/mol of atoms, with the most stable structure set to zero: entry w 28.1; entry x 0.0.

=====

Entry w
SrNi2Ru: optimized geometry, GGA-PBE.

Cell and atoms, written as POSCAR:
```
SrNi2Ru
1.0
-2.1290 2.5959 3.3263
2.1290 -2.5959 3.3263
2.1290 2.5959 -3.3263
Sr Ni Ru
1 2 1
direct
0.0000 0.0000 0.0000
0.3090 0.8090 0.5000
0.6910 0.1910 0.5000
0.5000 0.5000 0.0000
```

Summary:
**Magnetization**: 2.21 μB/f.u.

=====

Entry x
SrNi2Ru: optimized geometry, GGA-PBE.

Cell and atoms, written as POSCAR:
```
SrNi2Ru
1.0
4.8772 0.0000 0.0000
0.0000 2.7319 0.0000
-2.3177 0.0000 4.8483
Sr Ni Ru
1 2 1
direct
0.0000 0.0000 0.0000
0.5000 0.0000 0.5000
0.5000 0.5000 0.0000
0.0000 0.5000 0.5000
```

Summary:
**Magnetization**: 0.00 μB/f.u.

=====

Entry y
SrNi2Ru: optimized geometry, GGA-PBE.

Cell and atoms, written as POSCAR:
```
SrNi2Ru
1.0
3.1750 0.0000 0.0000
0.0000 3.1750 0.0000
0.0000 0.0000 6.8196
Sr Ni Ru
1 2 1
direct
0.0000 0.0000 0.0000
0.5000 0.5000 0.3243
0.5000 0.5000 0.6757
0.0000 0.0000 0.5000
```

Summary:
**Magnetization**: 0.40 μB/f.u.

=====

Relative energies, in kJ/mol of atoms, with the most stable structure set to zero: entry w 18.7; entry x 33.2; entry y 0.0.

=====

Entry w
SrNi2Ru: optimized geometry, GGA-PBE.

Cell and atoms, written as POSCAR:
```
SrNi2Ru
1.0
0.0000 3.2074 3.2074
3.2074 0.0000 3.2074
3.2074 3.2074 0.0000
Sr Ni Ru
1 2 1
direct
0.0000 0.0000 0.0000
0.5000 0.5000 0.5000
0.7500 0.7500 0.7500
0.2500 0.2500 0.2500
```

Summary:
**Magnetization**: 1.96 μB/f.u.

=====

Entry x
SrNi2Ru: optimized geometry, GGA-PBE.

Cell and atoms, written as POSCAR:
```
SrNi2Ru
1.0
1.4408 0.8318 9.0010
-1.4408 0.8318 9.0010
0.0000 -1.6637 9.0010
Sr Ni Ru
1 2 1
direct
0.0000 0.0000 0.0000
0.2383 0.2383 0.2383
0.7617 0.7617 0.7617
0.5000 0.5000 0.5000
```

Summary:
**Magnetization**: 0.00 μB/f.u.

=====

Relative energies, in kJ/mol of atoms, with the most stable structure set to zero: entry w 0.0; entry x 13.3.

=====

Entry w
SrNiRu2: optimized geometry, GGA-PBE.

Cell and atoms, written as POSCAR:
```
SrNiRu2
1.0
-2.2039 2.2039 3.4835
2.2039 -2.2039 3.4835
2.2039 2.2039 -3.4835
Sr Ni Ru
1 1 2
direct
0.0000 0.0000 0.0000
0.2500 0.7500 0.5000
0.5000 0.5000 0.0000
0.7500 0.2500 0.5000
```

Summary:
**Magnetization**: 0.02 μB/f.u.

=====

Entry x
SrNiRu2: optimized geometry, GGA-PBE.

Cell and atoms, written as POSCAR:
```
SrNiRu2
1.0
0.0000 3.2469 3.2469
3.2469 0.0000 3.2469
3.2469 3.2469 0.0000
Sr Ni Ru
1 1 2
direct
0.0000 0.0000 0.0000
0.5000 0.5000 0.5000
0.2500 0.2500 0.2500
0.7500 0.7500 0.7500
```

Summary:
**Magnetization**: 3.81 μB/f.u.

=====

Relative energies, in kJ/mol of atoms, with the most stable structure set to zero: entry w 0.0; entry x 17.8.

=====

Entry w
SrNiRu2: optimized geometry, GGA-PBE.

Cell and atoms, written as POSCAR:
```
SrNiRu2
1.0
-1.4110 2.3277 5.1095
1.4110 -2.3277 5.1095
1.4110 2.3277 -5.1095
Sr Ni Ru
1 1 2
direct
0.0000 0.0000 0.0000
0.5000 0.5000 0.0000
0.2854 0.7854 0.5000
0.7146 0.2146 0.5000
```

Summary:
**Magnetization**: 0.00 μB/f.u.

=====

Entry x
SrNiRu2: optimized geometry, GGA-PBE.

Cell and atoms, written as POSCAR:
```
SrNiRu2
1.0
2.1284 1.2288 5.4487
-2.1284 1.2288 5.4487
0.0000 -2.4576 5.4487
Sr Ni Ru
1 1 2
direct
0.0000 0.0000 0.0000
0.8076 0.8076 0.8076
0.1878 0.1878 0.1878
0.5090 0.5090 0.5090
```

Summary:
**Magnetization**: 0.40 μB/f.u.

=====

Entry y
SrNiRu2: optimized geometry, GGA-PBE.

Cell and atoms, written as POSCAR:
```
SrNiRu2
1.0
3.1327 0.0000 0.0000
0.0000 3.1327 0.0000
0.0000 0.0000 7.3029
Sr Ni Ru
1 1 2
direct
0.0000 0.0000 0.0000
0.5000 0.5000 0.3082
0.0000 0.0000 0.4878
0.5000 0.5000 0.6698
```

Summary:
**Magnetization**: 0.21 μB/f.u.

=====

Relative energies, in kJ/mol of atoms, with the most stable structure set to zero: entry w 31.5; entry x 0.0; entry y 22.0.

=====

Entry w
SrNiRu2: optimized geometry, GGA-PBE.

Cell and atoms, written as POSCAR:
```
SrNiRu2
1.0
2.7454 -4.5214 0.0000
2.7454 4.5214 0.0000
0.0000 0.0000 2.7020
Sr Ni Ru
1 1 2
direct
0.0000 0.0000 0.0000
0.5000 0.5000 0.0000
0.0000 0.5000 0.5000
0.5000 0.0000 0.5000
```

Summary:
**Magnetization**: 0.00 μB/f.u.

=====

Entry x
SrNiRu2: optimized geometry, GGA-PBE.

Cell and atoms, written as POSCAR:
```
SrNiRu2
1.0
1.4222 0.8211 9.3847
-1.4222 0.8211 9.3847
0.0000 -1.6422 9.3847
Sr Ni Ru
1 1 2
direct
0.0000 0.0000 0.0000
0.5000 0.5000 0.5000
0.2361 0.2361 0.2361
0.7639 0.7639 0.7639
```

Summary:
**Magnetization**: 0.00 μB/f.u.

=====

Entry y
SrNiRu2: optimized geometry, GGA-PBE.

Cell and atoms, written as POSCAR:
```
SrNiRu2
1.0
2.9097 0.0000 0.0000
0.0000 4.3779 0.0000
-1.2036 0.0000 5.7360
Sr Ni Ru
1 1 2
direct
0.0000 0.0000 0.0000
0.5000 0.0000 0.5000
0.3106 0.5000 0.6785
0.6894 0.5000 0.3215
```

Summary:
**Magnetization**: 1.80 μB/f.u.

=====

Entry z
SrNiRu2: optimized geometry, GGA-PBE.

Cell and atoms, written as POSCAR:
```
SrNiRu2
1.0
4.8294 0.0000 0.0000
0.0000 2.8305 0.0000
-1.4768 0.0000 4.8819
Sr Ni Ru
1 1 2
direct
0.0000 0.0000 0.0000
0.5000 0.5000 0.0000
0.0000 0.5000 0.5000
0.5000 0.0000 0.5000
```

Summary:
**Magnetization**: 0.36 μB/f.u.

=====

Relative energies, in kJ/mol of atoms, with the most stable structure set to zero: entry w 18.4; entry x 22.3; entry y 0.0; entry z 6.8.

=====

Entry w
SrNiRu2: optimized geometry, GGA-PBE.

Cell and atoms, written as POSCAR:
```
SrNiRu2
1.0
3.8670 0.0000 0.0000
0.0000 3.8670 0.0000
0.0000 0.0000 4.6034
Sr Ni Ru
1 1 2
direct
0.0000 0.0000 0.0000
0.5000 0.5000 0.0000
0.0000 0.5000 0.5000
0.5000 0.0000 0.5000
```

Summary:
**Magnetization**: 0.00 μB/f.u.

=====

Entry x
SrNiRu2: optimized geometry, GGA-PBE.

Cell and atoms, written as POSCAR:
```
SrNiRu2
1.0
-1.9698 1.9698 4.5499
1.9698 -1.9698 4.5499
1.9698 1.9698 -4.5499
Sr Ni Ru
1 1 2
direct
0.0000 0.0000 0.0000
0.5000 0.5000 0.0000
0.2500 0.7500 0.5000
0.7500 0.2500 0.5000
```

Summary:
**Magnetization**: 2.94 μB/f.u.

=====

Entry y
SrNiRu2: optimized geometry, GGA-PBE.

Cell and atoms, written as POSCAR:
```
SrNiRu2
1.0
-1.4625 2.4868 4.8280
1.4625 -2.4868 4.8280
1.4625 2.4868 -4.8280
Sr Ni Ru
1 1 2
direct
0.0000 0.0000 0.0000
0.2778 0.7778 0.5000
0.4957 0.4957 0.0000
0.7141 0.2141 0.5000
```

Summary:
**Magnetization**: 0.01 μB/f.u.

=====

Relative energies, in kJ/mol of atoms, with the most stable structure set to zero: entry w 5.9; entry x 12.0; entry y 0.0.

=====

Entry w
SrNiRu2: optimized geometry, GGA-PBE.

Cell and atoms, written as POSCAR:
```
SrNiRu2
1.0
-2.3478 2.3478 8.5223
2.3478 -2.3478 8.5223
2.3478 2.3478 -8.5223
Sr Ni Ru
2 2 4
direct
0.3750 0.6250 0.7500
0.6250 0.3750 0.2500
0.1250 0.8750 0.2500
0.8750 0.1250 0.7500
0.0000 0.0000 0.0000
0.0000 0.0000 0.5000
0.0000 0.5000 0.0000
0.5000 0.0000 0.5000
```

Summary:
**Magnetization**: 0.92 μB/f.u.

=====

Entry x
SrNiRu2: optimized geometry, GGA-PBE.

Cell and atoms, written as POSCAR:
```
SrNiRu2
1.0
2.8628 0.0000 0.0000
0.0000 3.3759 0.0000
0.0000 0.0000 7.2883
Sr Ni Ru
1 1 2
direct
0.0000 0.0000 0.0000
0.0000 0.0000 0.5000
0.5000 0.5000 0.3259
0.5000 0.5000 0.6741
```

Summary:
**Magnetization**: 0.00 μB/f.u.

=====

Relative energies, in kJ/mol of atoms, with the most stable structure set to zero: entry w 9.6; entry x 0.0.